No. 1
SiOs PBE optimized geometry; V = 161.6 Å³/cell; total magnetic moment = 0.00 μB per cell; ΔE_f (raw) = -0.170 eV/atom; SG = Pmmn
1.0
-2.6653 0.9922 -0.1421
-0.0248 -0.6610 -4.1504
-4.7535 -12.4802 2.0160
Si Os
6 6
direct
0.5000 0.3816 0.8330
0.0000 0.6184 0.3330
0.0000 0.1723 0.0000
0.5000 0.3816 0.1670
0.0000 0.6184 0.6670
0.5000 0.8277 0.5000
0.5000 0.1168 0.3348
0.5000 0.1168 0.6652
0.0000 0.8832 0.8348
0.0000 0.3362 0.5000
0.0000 0.8832 0.1652
0.5000 0.6639 0.0000

=====

No. 2
SiOs2 PBE optimized geometry; V = 189.5 Å³/cell; total magnetic moment = 0.00 μB per cell; ΔE_f (raw) = 0.674 eV/atom; SG = Pa-3
1.0
-4.3217 0.1875 -3.7795
-1.3403 -5.4412 1.2626
-3.5389 1.8318 4.1374
Si Os
4 8
direct
0.0000 0.0000 0.0000
0.5000 0.5000 0.0000
0.0000 0.5000 0.5000
0.5000 0.0000 0.5000
0.1200 0.6200 0.1200
0.6200 0.6200 0.3800
0.8800 0.1200 0.3800
0.8800 0.3800 0.8800
0.1200 0.8800 0.6200
0.6200 0.8800 0.8800
0.3800 0.3800 0.6200
0.3800 0.1200 0.1200

=====

Number 1: E_tot -8.496 eV/atom, mass density 13.5 g/cm3. Number 2: E_tot -8.620 eV/atom, mass density 14.3 g/cm3.